No. 1
Compound: Y6Si2Ir
Source: the Open Quantum Materials Database
Functional: GGA-PBE
Structure: relaxed

Unit cell a=7.7981 b=7.7981 c=4.2759 alpha=90.00 beta=90.00 gamma=120.00
Space group P-62m (No. 189)
Unique sites:
Y (0.0000, 0.4063, 0.0000) x3
Y (0.0000, 0.7468, 0.5000) x3
Si (0.3333, 0.6667, 0.5000) x2
Ir (0.0000, 0.0000, 0.0000) x1

Properties
Electronic total energy ... -64.0 eV for the cell shown
Crystal system ... hexagonal



No. 2
Compound: YSi3Ir
Source: the Open Quantum Materials Database
Functional: GGA-PBE
Structure: relaxed

Unit cell a=4.2020 b=4.2020 c=9.7902 alpha=90.00 beta=90.00 gamma=90.00
Space group I4mm (No. 107)
Unique sites:
Y (0.0000, 0.0000, 0.0000) x2
Si (0.0000, 0.0000, 0.4148) x2
Si (0.0000, 0.5000, 0.2659) x4
Ir (0.0000, 0.0000, 0.6530) x2

Properties
Electronic total energy ... -71.0 eV for the cell shown
Crystal system ... tetragonal



No. 3
Compound: ZnSiIr
Source: the Open Quantum Materials Database
Functional: GGA-PBE
Structure: relaxed

Unit cell a=5.6786 b=5.6786 c=5.6786 alpha=90.00 beta=90.00 gamma=90.00
Space group F-43m (No. 216)
Unique sites:
Zn (0.0000, 0.0000, 0.0000) x4
Si (0.2500, 0.2500, 0.7500) x4
Ir (0.0000, 0.0000, 0.5000) x4

Properties
Electronic total energy ... -64.7 eV for the cell shown
Crystal system ... cubic



No. 4
Compound: ZnSi2Ir
Source: the Open Quantum Materials Database
Functional: GGA-PBE
Structure: relaxed

Unit cell a=6.1099 b=6.1099 c=6.1099 alpha=90.00 beta=90.00 gamma=90.00
Space group F-43m (No. 216)
Unique sites:
Zn (0.0000, 0.0000, 0.0000) x4
Si (0.0000, 0.0000, 0.5000) x4
Si (0.2500, 0.2500, 0.2500) x4
Ir (0.2500, 0.2500, 0.7500) x4

Properties
Electronic total energy ... -81.1 eV for the cell shown
Crystal system ... cubic



No. 5
Compound: ZrSi2Ir
Source: the Open Quantum Materials Database
Functional: GGA-PBE
Structure: relaxed

Unit cell a=3.9213 b=4.8322 c=6.6721 alpha=90.00 beta=90.00 gamma=90.00
Space group Pmc2_1 (No. 26)
Unique sites:
Zr (0.0000, 0.1088, 0.0000) x2
Si (0.0000, 0.4135, 0.6397) x2
Si (0.5000, 0.1359, 0.7207) x2
Ir (0.5000, 0.3514, 0.3664) x2

Properties
Electronic total energy ... -60.7 eV for the cell shown
Crystal system ... orthorhombic



No. 6
Compound: ZrSi2Ir
Source: the Open Quantum Materials Database
Functional: GGA-PBE
Structure: relaxed

Unit cell a=4.0240 b=5.8774 c=5.3096 alpha=90.00 beta=90.00 gamma=90.00
Space group Pmn2_1 (No. 31)
Unique sites:
Zr (0.0000, 0.0889, 0.0000) x2
Si (0.0000, 0.2423, 0.4991) x2
Si (0.0000, 0.6473, 0.2821) x2
Ir (0.0000, 0.6000, 0.7905) x2

Properties
Electronic total energy ... -62.2 eV for the cell shown
Crystal system ... orthorhombic



No. 7
Compound: Zr2Si2Ir
Source: the Open Quantum Materials Database
Functional: GGA-PBE
Structure: relaxed

Unit cell a=6.2995 b=6.2995 c=4.2425 alpha=90.00 beta=90.00 gamma=90.00
Space group P4/mbm (No. 127)
Unique sites:
Zr (0.1691, 0.3309, 0.0000) x4
Si (0.1355, 0.6355, 0.5000) x4
Ir (0.0000, 0.0000, 0.5000) x2

Properties
Electronic total energy ... -83.9 eV for the cell shown
Crystal system ... tetragonal



No. 8
Compound: ZrSi2Ir
Source: the Open Quantum Materials Database
Functional: GGA-PBE
Structure: relaxed

Unit cell a=6.3936 b=6.3936 c=6.3936 alpha=90.00 beta=90.00 gamma=90.00
Space group F-43m (No. 216)
Unique sites:
Zr (0.0000, 0.0000, 0.0000) x4
Si (0.0000, 0.0000, 0.5000) x4
Si (0.2500, 0.2500, 0.2500) x4
Ir (0.2500, 0.2500, 0.7500) x4

Properties
Electronic total energy ... -116.5 eV for the cell shown
Crystal system ... cubic



No. 9
Compound: Zr2SiIr2
Source: the Open Quantum Materials Database
Functional: GGA-PBE
Structure: relaxed

Unit cell a=3.6734 b=3.6734 c=14.5513 alpha=90.00 beta=90.00 gamma=90.00
Space group I4/mmm (No. 139)
Unique sites:
Zr (0.0000, 0.0000, 0.1090) x4
Si (0.0000, 0.0000, 0.5000) x2
Ir (0.0000, 0.5000, 0.2500) x4

Properties
Electronic total energy ... -82.5 eV for the cell shown
Crystal system ... tetragonal



No. 10
Compound: ZrSi2Ir
Source: the Open Quantum Materials Database
Functional: GGA-PBE
Structure: relaxed

Unit cell a=5.2007 b=3.9974 c=6.4957 alpha=90.00 beta=106.90 gamma=90.00
Space group P2_1/m (No. 11)
Unique sites:
Zr (0.2228, 0.2500, 0.2262) x2
Si (0.1909, 0.7500, 0.5130) x2
Si (0.3172, 0.7500, 0.9605) x2
Ir (0.2781, 0.2500, 0.7362) x2

Properties
Electronic total energy ... -62.4 eV for the cell shown
Crystal system ... monoclinic



No. 11
Compound: Zr2SiIr2
Source: the Open Quantum Materials Database
Functional: GGA-PBE
Structure: relaxed

Unit cell a=4.5499 b=4.5499 c=10.3319 alpha=90.00 beta=90.00 gamma=90.00
Space group I4/mmm (No. 139)
Unique sites:
Zr (0.0000, 0.5000, 0.2500) x4
Si (0.0000, 0.0000, 0.0000) x2
Ir (0.0000, 0.0000, 0.3811) x4

Properties
Electronic total energy ... -82.3 eV for the cell shown
Crystal system ... tetragonal



No. 12
Compound: ZrSiIr
Source: the Open Quantum Materials Database
Functional: GGA-PBE
Structure: relaxed

Unit cell a=4.2146 b=4.2146 c=6.6194 alpha=90.00 beta=90.00 gamma=120.00
Space group P6_3mc (No. 186)
Unique sites:
Zr (0.0000, 0.0000, 0.0000) x2
Si (0.3333, 0.6667, 0.2243) x2
Ir (0.3333, 0.6667, 0.8046) x2

Properties
Electronic total energy ... -51.2 eV for the cell shown
Crystal system ... hexagonal



No. 13
Compound: ZrSiIr
Source: the Open Quantum Materials Database
Functional: GGA-PBE
Structure: relaxed

Unit cell a=6.5922 b=3.9802 c=7.4458 alpha=90.00 beta=90.00 gamma=90.00
Space group Pnma (No. 62)
Unique sites:
Zr (0.0180, 0.2500, 0.1815) x4
Si (0.2214, 0.7500, 0.3812) x4
Ir (0.1512, 0.2500, 0.5648) x4

Properties
Electronic total energy ... -104.7 eV for the cell shown
Crystal system ... orthorhombic



No. 14
Compound: ZrSi2Ir
Source: the Open Quantum Materials Database
Functional: GGA-PBE
Structure: relaxed

Unit cell a=6.3937 b=6.3937 c=6.3937 alpha=90.00 beta=90.00 gamma=90.00
Space group F-43m (No. 216)
Unique sites:
Zr (0.0000, 0.0000, 0.0000) x4
Si (0.0000, 0.0000, 0.5000) x4
Si (0.2500, 0.2500, 0.7500) x4
Ir (0.2500, 0.2500, 0.2500) x4

Properties
Electronic total energy ... -116.5 eV for the cell shown
Crystal system ... cubic



No. 15
Compound: Sm5Ir3
Source: the Open Quantum Materials Database
Functional: GGA-PBE
Structure: relaxed

Unit cell a=11.1150 b=11.1150 c=6.4588 alpha=90.00 beta=90.00 gamma=90.00
Space group P4/ncc (No. 130, origin choice 2)
Unique sites:
Sm (0.0417, 0.1608, 0.1217) x16
Sm (0.2500, 0.7500, 0.0000) x4
Ir (0.0962, 0.5962, 0.7500) x8
Ir (0.2500, 0.2500, 0.3810) x4

Properties
Energy of formation ... -0.69 eV/atom
Electronic total energy ... -222.5 eV for the cell shown
Crystal system ... tetragonal



No. 16
Compound: Sm5Ir2
Source: the Open Quantum Materials Database
Functional: GGA-PBE
Structure: relaxed

Unit cell a=16.4338 b=6.5927 c=7.2530 alpha=90.00 beta=96.95 gamma=90.00
Space group C2/c (No. 15)
Unique sites:
Sm (0.0000, 0.0703, 0.2500) x4
Sm (0.0929, 0.3895, 0.9194) x8
Sm (0.2186, 0.0707, 0.3140) x8
Ir (0.1117, 0.2083, 0.5753) x8

Properties
Energy of formation ... -0.57 eV/atom
Electronic total energy ... -180.9 eV for the cell shown
Crystal system ... monoclinic



No. 17
Compound: Sm2Ir
Source: the Open Quantum Materials Database
Functional: GGA-PBE
Structure: relaxed

Unit cell a=7.8542 b=7.8542 c=4.2151 alpha=90.00 beta=90.00 gamma=120.00
Space group P-62m (No. 189)
Unique sites:
Sm (0.0000, 0.4160, 0.0000) x3
Sm (0.0000, 0.7446, 0.5000) x3
Ir (0.0000, 0.0000, 0.0000) x1
Ir (0.3333, 0.6667, 0.5000) x2

Properties
Energy of formation ... -0.54 eV/atom
Electronic total energy ... -59.7 eV for the cell shown
Crystal system ... hexagonal



No. 18
Compound: Sm2Ir
Source: the Open Quantum Materials Database
Functional: GGA-PBE
Structure: relaxed

Unit cell a=8.3128 b=8.3128 c=8.3128 alpha=90.00 beta=90.00 gamma=90.00
Space group Fd-3m (No. 227, origin choice 2)
Unique sites:
Sm (0.0000, 0.0000, 0.0000) x16
Ir (0.1250, 0.1250, 0.6250) x8

Properties
Energy of formation ... 0.76 eV/atom
Electronic total energy ... -128.1 eV for the cell shown
Crystal system ... cubic



No. 19
Compound: Sm3Sn13Ir4
Source: the Open Quantum Materials Database
Functional: GGA-PBE
Structure: relaxed

Unit cell a=9.7794 b=9.7794 c=9.7794 alpha=90.00 beta=90.00 gamma=90.00
Space group Pm-3n (No. 223)
Unique sites:
Sm (0.0000, 0.2500, 0.5000) x6
Sn (0.0000, 0.0000, 0.0000) x2
Sn (0.0000, 0.3078, 0.1520) x24
Ir (0.2500, 0.2500, 0.2500) x8

Properties
Electronic total energy ... -223.0 eV for the cell shown
Crystal system ... cubic



No. 20
Compound: TbSmSn2Ir
Source: the Open Quantum Materials Database
Functional: GGA-PBE
Structure: relaxed

Unit cell a=11.0613 b=4.5443 c=10.9928 alpha=90.00 beta=115.97 gamma=90.00
Space group C2/m (No. 12)
Unique sites:
Tb (0.0003, 0.0000, 0.1697) x4
Sm (0.1889, 0.0000, 0.6271) x4
Sn (0.0258, 0.5000, 0.3803) x4
Sn (0.1547, 0.5000, 0.0477) x4
Ir (0.2271, 0.5000, 0.8283) x4

Properties
Electronic total energy ... -120.5 eV for the cell shown
Crystal system ... monoclinic